# Tl2CrRh PBE-GGA optimized geometry
data_Tl2CrRh
_chemical_formula_sum 'Tl6 Cr3 Rh3'
_cell_length_a 3.3098
_cell_length_b 3.3098
_cell_length_c 25.7490
_cell_angle_alpha 90.00
_cell_angle_beta 90.00
_cell_angle_gamma 120.00
_space_group_name_H-M_alt 'R -3 m'
_space_group_IT_number 166
_space_group_name_Hall '-R 3 2"'
loop_
_atom_site_label
_atom_site_fract_x
_atom_site_fract_y
_atom_site_fract_z
Tl1 0.0000 0.0000 0.2464
Cr1 0.0000 0.0000 0.0000
Rh1 0.0000 0.0000 0.5000
# DFT formation energy (eV per atom): 0.45
# ΔE to the lowest computed polymorph (meV per atom): 159.0